Record 1
DFT (PBEsol) results for CaHfIr2Os after structural relaxation.

The structure belongs to space group P4/mmm (No. 123); the cell edges are 4.8623, 4.8623 and 4.7406 Å and the angles 90.00°, 90.00° and 90.00°. The inequivalent atoms are Ca at (0.0000, 0.0000, 0.0000), Hf at (0.5000, 0.5000, 0.0000), Ir at (0.0000, 0.5000, 0.5000) and Os at (0.5000, 0.5000, 0.5000).

Its spin magnetization is 0.0 Bohr magnetons per cell. The crystal system is tetragonal. The mass density is 11.753 g cm⁻³. As for the formation energy: 0.77 eV per atom.

***

Record 2
DFT (PBEsol) results for MgCd2In after structural relaxation.

The structure belongs to space group Cm (No. 8); the cell edges are 10.0868, 3.2010 and 5.5506 Å and the angles 90.00°, 101.62° and 90.00°. The inequivalent atoms are Mg at (0.0000, 0.0000, 0.0000), Cd at (0.2461, 0.5000, 0.2451), Cd at (0.4946, 0.0000, 0.4862) and In at (0.2475, 0.0000, 0.7500).

Its spin magnetization is 0.0 Bohr magnetons per cell. The crystal system is monoclinic. The mass density is 6.885 g cm⁻³. As for the formation energy: -0.05 eV per atom.

***

Record 3
DFT (PBEsol) results for CrRuPb2 after structural relaxation.

The structure belongs to space group I4/mmm (No. 139); the cell edges are 4.6453, 4.6453 and 6.8931 Å and the angles 90.00°, 90.00° and 90.00°. The inequivalent atoms are Cr at (0.0000, 0.0000, 0.0000), Ru at (0.0000, 0.0000, 0.5000) and Pb at (0.0000, 0.5000, 0.2500).

Its spin magnetization is 6.8 Bohr magnetons per cell. The crystal system is tetragonal. The mass density is 12.670 g cm⁻³. As for the formation energy: 0.61 eV per atom.

***

Record 4
DFT (PBEsol) results for ScAlO3 after structural relaxation.

The structure belongs to space group Pnma (No. 62); the cell edges are 5.2266, 7.2049 and 4.9256 Å and the angles 90.00°, 90.00° and 90.00°. The inequivalent atoms are Sc at (0.0702, 0.2500, 0.0222), Al at (0.0000, 0.0000, 0.5000), O at (0.0452, 0.7500, 0.3778) and O at (0.1944, 0.5623, 0.8091).

Its spin magnetization is 0.0 Bohr magnetons per cell. The crystal system is orthorhombic. The mass density is 4.295 g cm⁻³. The formation energy (no corrections) comes out at -3.330 eV per atom.

***

Record 5
DFT (PBEsol) results for TaRu2Rh after structural relaxation.

The structure belongs to space group P4/mmm (No. 123); the cell edges are 3.8404, 3.8404 and 3.8603 Å and the angles 90.00°, 90.00° and 90.00°. The inequivalent atoms are Ta at (0.0000, 0.0000, 0.0000), Ru at (0.0000, 0.5000, 0.5000) and Rh at (0.5000, 0.5000, 0.0000).

Its spin magnetization is 0.0 Bohr magnetons per cell. The crystal system is tetragonal. The mass density is 14.174 g cm⁻³. The value obtained for the energy above the lowest structure with this stoichiometry is 0.0 meV/atom. As for the formation energy: -0.33 eV per atom.

***

Record 6
DFT (PBEsol) results for Sr3LiRuO6 after structural relaxation.

The structure belongs to space group R-3c (No. 167, hexagonal axes); the cell edges are 9.5789, 9.5789 and 11.0440 Å and the angles 90.00°, 90.00° and 120.00°. The inequivalent atoms are Sr at (0.0000, 0.3593, 0.2500), Li at (0.0000, 0.0000, 0.2500), Ru at (0.0000, 0.0000, 0.0000) and O at (0.0217, 0.1746, 0.3946).

Its spin magnetization is 18.0 Bohr magnetons per cell. The crystal system is trigonal. The mass density is 5.300 g cm⁻³. The formation energy (no corrections) comes out at -2.259 eV per atom.

***

Record 7
DFT (PBEsol) results for LiZnW3 after structural relaxation.

The structure belongs to space group Pm-3m (No. 221); the cell edges are 4.1760, 4.1760 and 4.1760 Å and the angles 90.00°, 90.00° and 90.00°. The inequivalent atoms are Li at (0.0000, 0.0000, 0.0000), Zn at (0.5000, 0.5000, 0.5000) and W at (0.0000, 0.0000, 0.5000).

Its spin magnetization is 0.0 Bohr magnetons per cell. The crystal system is cubic. The mass density is 14.226 g cm⁻³. As for the formation energy: 1.54 eV per atom.

***

Record 8
DFT (PBEsol) results for Mn4CdO5 after structural relaxation.

The structure belongs to space group I4/mmm (No. 139); the cell edges are 3.1830, 3.1830 and 21.9634 Å and the angles 90.00°, 90.00° and 90.00°. The inequivalent atoms are Mn at (0.0000, 0.0000, 0.1047), Mn at (0.0000, 0.0000, 0.2974), Cd at (0.0000, 0.0000, 0.5000), O at (0.0000, 0.0000, 0.0000), O at (0.0000, 0.0000, 0.2025) and O at (0.0000, 0.0000, 0.3913).

Its spin magnetization is 38.0 Bohr magnetons per cell. The crystal system is tetragonal. The mass density is 6.151 g cm⁻³. The formation energy (no corrections) comes out at -1.065 eV per atom.

***

Record 9
DFT (PBEsol) results for Au2S2Cl after structural relaxation.

The structure belongs to space group I4/mmm (No. 139); the cell edges are 4.7586, 4.7586 and 8.2076 Å and the angles 90.00°, 90.00° and 90.00°. The inequivalent atoms are Au at (0.0000, 0.5000, 0.2500), S at (0.0000, 0.0000, 0.1256) and Cl at (0.0000, 0.0000, 0.5000).

Its spin magnetization is 0.0 Bohr magnetons per cell. The crystal system is tetragonal. The mass density is 8.819 g cm⁻³. The formation energy (no corrections) comes out at 0.240 eV per atom.

***

Record 10
DFT (PBEsol) results for KBi3C after structural relaxation.

The structure belongs to space group Pm-3m (No. 221); the cell edges are 5.8363, 5.8363 and 5.8363 Å and the angles 90.00°, 90.00° and 90.00°. The inequivalent atoms are K at (0.0000, 0.0000, 0.0000), Bi at (0.0000, 0.0000, 0.5000) and C at (0.5000, 0.5000, 0.5000).

Its spin magnetization is 1.2 Bohr magnetons per cell. The crystal system is cubic. The mass density is 5.664 g cm⁻³. As for the formation energy: 2.56 eV per atom.

***

Record 11
DFT (PBEsol) results for Li3Co4S8 after structural relaxation.

The structure belongs to space group R3m (No. 160, hexagonal axes); the cell edges are 6.6484, 6.6484 and 18.5580 Å and the angles 90.00°, 90.00° and 120.00°. The inequivalent atoms are Li at (0.9998, 0.4999, 0.0000), Co at (0.0000, 0.0000, 0.8575), Co at (0.0038, 0.5019, 0.8550), S at (0.0000, 0.0000, 0.1282), S at (0.0000, 0.0000, 0.5866), S at (0.9998, 0.4999, 0.5847) and S at (0.1673, 0.3346, 0.4618).

Its spin magnetization is 0.0 Bohr magnetons per cell. The crystal system is trigonal. The mass density is 3.598 g cm⁻³. The formation energy (no corrections) comes out at -0.689 eV per atom.

***

Record 12
DFT (PBEsol) results for BeCoNi6 after structural relaxation.

The structure belongs to space group Cmmm (No. 65); the cell edges are 6.8282, 9.6951 and 9.7007 Å and the angles 90.00°, 90.00° and 90.00°. The inequivalent atoms are Be at (0.0000, 0.0000, 0.2458), Be at (0.0000, 0.2517, 0.0000), Co at (0.0000, 0.2510, 0.5000), Co at (0.0000, 0.5000, 0.2468), Ni at (0.0000, 0.0000, 0.0000), Ni at (0.0000, 0.0000, 0.5000), Ni at (0.0000, 0.2494, 0.2477), Ni at (0.0000, 0.5000, 0.0000), Ni at (0.0000, 0.5000, 0.5000), Ni at (0.2476, 0.1242, 0.3730) and Ni at (0.2478, 0.1255, 0.1233).

Its spin magnetization is 36.8 Bohr magnetons per cell. The crystal system is orthorhombic. The mass density is 8.690 g cm⁻³. As for the formation energy: -0.09 eV per atom.

***

Record 13
DFT (PBEsol) results for HoSiRh after structural relaxation.

The structure belongs to space group Pnma (No. 62); the cell edges are 6.8021, 4.1965 and 7.2473 Å and the angles 90.00°, 90.00° and 90.00°. The inequivalent atoms are Ho at (0.0023, 0.2500, 0.1882), Si at (0.2039, 0.2500, 0.6059) and Rh at (0.1536, 0.7500, 0.4308).

Its spin magnetization is 0.0 Bohr magnetons per cell. The crystal system is orthorhombic. The mass density is 9.501 g cm⁻³. The formation energy (no corrections) comes out at -1.109 eV per atom.

***

Record 14
DFT (PBEsol) results for Li2PBr after structural relaxation.

The structure belongs to space group I-42d (No. 122); the cell edges are 6.9634, 6.9634 and 5.7575 Å and the angles 90.00°, 90.00° and 90.00°. The inequivalent atoms are Li at (0.2472, 0.7500, 0.1250), P at (0.0000, 0.0000, 0.0000) and Br at (0.0000, 0.0000, 0.5000).

Its spin magnetization is 0.0 Bohr magnetons per cell. The crystal system is tetragonal. The mass density is 2.968 g cm⁻³. The formation energy (no corrections) comes out at -0.451 eV per atom.

***

Record 15
DFT (PBEsol) results for InAgP2Se6 after structural relaxation.

The structure belongs to space group P-31c (No. 163); the cell edges are 6.4453, 6.4453 and 13.2983 Å and the angles 90.00°, 90.00° and 120.00°. The inequivalent atoms are In at (0.0000, 0.0000, 0.2500), Ag at (0.3333, 0.6667, 0.2500), P at (0.3333, 0.6667, 0.6649) and Se at (0.0098, 0.3354, 0.6172).

Its spin magnetization is 0.0 Bohr magnetons per cell. The crystal system is trigonal. The mass density is 5.265 g cm⁻³. The formation energy (no corrections) comes out at -0.205 eV per atom.

***

Record 16
DFT (PBEsol) results for Y2MnRe after structural relaxation.

The structure belongs to space group F-43m (No. 216); the cell edges are 6.7413, 6.7413 and 6.7413 Å and the angles 90.00°, 90.00° and 90.00°. The inequivalent atoms are Y at (0.0000, 0.0000, 0.0000), Y at (0.2500, 0.2500, 0.2500), Mn at (0.2500, 0.2500, 0.7500) and Re at (0.0000, 0.0000, 0.5000).

Its spin magnetization is 13.7 Bohr magnetons per cell. The crystal system is cubic. The mass density is 9.083 g cm⁻³. The value obtained for the energy above the lowest structure with this stoichiometry is 236.6 meV/atom. As for the formation energy: 0.53 eV per atom.

***

Record 17
DFT (PBEsol) results for Ca2AlSi after structural relaxation.

The structure belongs to space group R3m (No. 160, hexagonal axes); the cell edges are 4.1358, 4.1358 and 22.8716 Å and the angles 90.00°, 90.00° and 120.00°. The inequivalent atoms are Ca at (0.0000, 0.0000, 0.0000), Ca at (0.0000, 0.0000, 0.1885), Al at (0.0000, 0.0000, 0.7557) and Si at (0.0000, 0.0000, 0.4346).

Its spin magnetization is 0.0 Bohr magnetons per cell. The crystal system is trigonal. The mass density is 1.988 g cm⁻³. The formation energy (no corrections) comes out at -0.267 eV per atom.

***

Record 18
DFT (PBEsol) results for PmY after structural relaxation.

The structure belongs to space group P-6m2 (No. 187); the cell edges are 3.5847, 3.5847 and 5.6750 Å and the angles 90.00°, 90.00° and 120.00°. The inequivalent atoms are Pm at (0.0000, 0.0000, 0.0000) and Y at (0.3333, 0.6667, 0.5000).

Its spin magnetization is 0.0 Bohr magnetons per cell. The crystal system is hexagonal. The mass density is 6.150 g cm⁻³. As for the formation energy: 0.02 eV per atom.

***

Record 19
DFT (PBEsol) results for SiRu2Cl after structural relaxation.

The structure belongs to space group F-43m (No. 216); the cell edges are 6.0946, 6.0946 and 6.0946 Å and the angles 90.00°, 90.00° and 90.00°. The inequivalent atoms are Si at (0.0000, 0.0000, 0.0000), Ru at (0.0000, 0.0000, 0.5000), Ru at (0.2500, 0.2500, 0.2500) and Cl at (0.2500, 0.2500, 0.7500).

Its spin magnetization is 0.0 Bohr magnetons per cell. The crystal system is cubic. The mass density is 7.795 g cm⁻³. The formation energy (no corrections) comes out at 0.728 eV per atom. The value obtained for the energy above the lowest structure with this stoichiometry is 531.2 meV/atom.

***

Record 20
DFT (PBEsol) results for CoPPdO2 after structural relaxation.

The structure belongs to space group P4/mmm (No. 123); the cell edges are 3.7077, 3.7077 and 5.0529 Å and the angles 90.00°, 90.00° and 90.00°. The inequivalent atoms are Co at (0.0000, 0.0000, 0.0000), P at (0.5000, 0.5000, 0.0000), Pd at (0.5000, 0.5000, 0.5000) and O at (0.0000, 0.5000, 0.5000).

Its spin magnetization is 3.4 Bohr magnetons per cell. The crystal system is tetragonal. The mass density is 5.458 g cm⁻³. The formation energy (no corrections) comes out at 0.577 eV per atom.

***

Record 21
DFT (PBEsol) results for NiOs2Se after structural relaxation.

The structure belongs to space group Immm (No. 71); the cell edges are 2.8529, 3.7358 and 10.8162 Å and the angles 90.00°, 90.00° and 90.00°. The inequivalent atoms are Ni at (0.0000, 0.0000, 0.0000), Os at (0.0000, 0.5000, 0.1994) and Se at (0.0000, 0.0000, 0.5000).

Its spin magnetization is 0.0 Bohr magnetons per cell. The crystal system is orthorhombic. The mass density is 14.926 g cm⁻³. The formation energy (no corrections) comes out at 0.530 eV per atom.

***

Record 22
DFT (PBEsol) results for YNbReI2 after structural relaxation.

The structure belongs to space group P4/mmm (No. 123); the cell edges are 5.6280, 5.6280 and 5.6451 Å and the angles 90.00°, 90.00° and 90.00°. The inequivalent atoms are Y at (0.0000, 0.0000, 0.0000), Nb at (0.0000, 0.0000, 0.5000), Re at (0.5000, 0.5000, 0.5000) and I at (0.0000, 0.5000, 0.0000).

Its spin magnetization is 7.5 Bohr magnetons per cell. The crystal system is tetragonal. The mass density is 5.775 g cm⁻³. The formation energy (no corrections) comes out at 2.035 eV per atom.

***

Record 23
DFT (PBEsol) results for MgCo3C after structural relaxation.

The structure belongs to space group Pm-3m (No. 221); the cell edges are 3.7283, 3.7283 and 3.7283 Å and the angles 90.00°, 90.00° and 90.00°. The inequivalent atoms are Mg at (0.0000, 0.0000, 0.0000), Co at (0.0000, 0.5000, 0.5000) and C at (0.5000, 0.5000, 0.5000).

Its spin magnetization is 1.0 Bohr magnetons per cell. The crystal system is cubic. The mass density is 6.829 g cm⁻³. As for the formation energy: -0.11 eV per atom.

***

Record 24
DFT (PBEsol) results for NbNi2Au after structural relaxation.

The structure belongs to space group Fm-3m (No. 225); the cell edges are 6.0136, 6.0136 and 6.0136 Å and the angles 90.00°, 90.00° and 90.00°. The inequivalent atoms are Nb at (0.0000, 0.0000, 0.0000), Ni at (0.2500, 0.2500, 0.2500) and Au at (0.0000, 0.0000, 0.5000).

Its spin magnetization is 0.0 Bohr magnetons per cell. The crystal system is cubic. The mass density is 12.439 g cm⁻³. As for the formation energy: -0.17 eV per atom.